Material: KLi2W
Method: DFT, meta-GGA SCAN
State: PBEsol geometry Values from VASP.

Cell and atoms, written as Quantum ESPRESSO input:
```
&SYSTEM
  ibrav = 0, nat = 4, ntyp = 3
/
ATOMIC_SPECIES
K 39.10 K.upf
Li 6.94 Li.upf
W 183.84 W.upf
ATOMIC_POSITIONS crystal
K 0.500 0.500 0.000
Li 0.000 0.000 0.298
Li 0.000 0.000 0.702
W 0.500 0.500 0.500
CELL_PARAMETERS angstrom
2.747 -0.027 0.000
-0.867 2.607 0.000
0.000 0.000 11.444
```

Values from the calculation:
Calculated volume, Å³ per atom: 20.42
Energy relative to the elements, meV per atom: 809
ρ, Mg/m³: 4.8
Relative energy among the computed polymorphs, eV per atom: 0.000